1.
## NbAsIr3 (GGA-PBEsol)

Data for NbAsIr3 after structural relaxation.

Unit cell a=4.4934 b=4.4934 c=4.4934 alpha=90.00 beta=90.00 gamma=90.00
Closest atoms and distances in Å follow each position.
Space group Pm-3m (No. 221)
One atom of each set of equivalent atoms:
Nb1 0.0000 0.0000 0.0000  12 Ir 3.18
As1 0.5000 0.5000 0.5000  6 Ir 2.25
Ir1 0.0000 0.5000 0.5000  2 As 2.25

2.
## Sr2NbAsIr (GGA-PBEsol)

Data for Sr2NbAsIr after structural relaxation.

Unit cell a=5.6852 b=5.6852 c=4.7672 alpha=90.00 beta=90.00 gamma=90.00
Closest atoms and distances in Å follow each position.
Space group P4/mmm (No. 123)
One atom of each set of equivalent atoms:
Sr1 0.0000 0.5000 0.0000  2 Nb 2.84
Nb1 0.0000 0.0000 0.0000  2 As 2.38
As1 0.0000 0.0000 0.5000  2 Nb 2.38
Ir1 0.5000 0.5000 0.5000  8 Sr 3.71, 4 As 4.02

3.
## NiAsIr2 (GGA-PBEsol)

Data for NiAsIr2 after structural relaxation.

Unit cell a=2.7675 b=3.6422 c=5.3896 alpha=90.00 beta=90.00 gamma=90.00
Closest atoms and distances in Å follow each position.
Space group Pmm2 (No. 25)
One atom of each set of equivalent atoms:
Ni1 0.0000 0.0000 0.0000  6 Ir 2.59-2.76, 4 As 2.63, 2 Ni 2.77
As1 0.5000 0.5000 0.2405  5 Ir 2.51-2.71, 4 Ni 2.63, 2 As 2.77
Ir1 0.0000 0.0000 0.5115  2 Ni 2.63-2.76, 6 Ir 2.69-2.77, 4 As 2.71
Ir2 0.5000 0.5000 0.7740  1 As 2.51, 4 Ni 2.59, 6 Ir 2.69-2.77

no.,E_form (eV per atom)
1,1.150
2,1.171
3,0.136